[1]
! Tb4HoRh5, optimized geometry, DFT GGA-PBE; values from VASP
! **DOS at the Fermi energy**: 6.9 states/eV/f.u.
! **Uncorrected energy**: -6.84 eV per atom
! **Crystal system**: tetragonal
! **Energy relative to the elements**: -82 kJ/mol of atoms
&SYSTEM
  ibrav = 0, nat = 10, ntyp = 3
/
ATOMIC_SPECIES
Rh 102.91 Rh.upf
Tb 158.93 Tb.upf
Ho 164.93 Ho.upf
CELL_PARAMETERS angstrom
-2.183 2.341 -1.320
0.761 -1.093 -3.196
-12.588 -11.260 0.851
ATOMIC_POSITIONS crystal
Rh 0.500 0.500 0.701
Rh 0.500 0.500 0.299
Rh 0.500 0.500 0.098
Rh 0.500 0.500 0.902
Rh 0.500 0.500 0.500
Tb 0.000 0.000 0.600
Tb 0.000 0.000 0.199
Tb 0.000 0.000 0.400
Tb 0.000 0.000 0.801
Ho 0.000 0.000 0.000

---

[2]
! Ho3PaTl3Se8, optimized geometry, DFT GGA-PBE; values from VASP
! **ΔE_f (raw)**: -20.67 eV/f.u.
! **DOS at the Fermi energy**: 4.0 states/eV/f.u.
! **Uncorrected energy**: -5.26 eV per atom
! **Crystal system**: trigonal
&SYSTEM
  ibrav = 0, nat = 15, ntyp = 4
/
ATOMIC_SPECIES
Se 78.96 Se.upf
Ho 164.93 Ho.upf
Tl 204.38 Tl.upf
Pa 231.04 Pa.upf
CELL_PARAMETERS angstrom
-6.725 -4.672 -1.455
7.528 -3.522 0.283
-3.622 2.723 8.002
ATOMIC_POSITIONS crystal
Se 0.234 0.968 0.701
Se 0.234 0.468 0.702
Se 0.766 0.032 0.299
Se 0.266 0.532 0.298
Se 0.734 0.968 0.701
Se 0.266 0.032 0.299
Se 0.766 0.532 0.298
Se 0.734 0.468 0.702
Ho 0.000 0.500 0.500
Ho 0.500 0.000 0.500
Ho 0.500 0.500 0.500
Tl 0.500 0.500 0.000
Tl 0.000 0.500 0.000
Tl 0.000 0.000 0.000
Pa 0.000 0.000 0.500

---

[3]
! LiP2Pb, optimized geometry, DFT GGA-PBE; values from VASP
! **DOS at the Fermi energy**: 2.6 states/eV/f.u.
! **Uncorrected energy**: -4.21 eV per atom
! **Crystal system**: tetragonal
! **Energy relative to the elements**: -9 kJ/mol of atoms
&SYSTEM
  ibrav = 0, nat = 4, ntyp = 3
/
ATOMIC_SPECIES
Li 6.94 Li.upf
Pb 207.20 Pb.upf
P 30.97 P.upf
CELL_PARAMETERS angstrom
3.626 0.000 0.000
0.000 3.626 0.000
0.000 0.000 6.099
ATOMIC_POSITIONS crystal
Li 0.500 0.500 0.750
Pb 0.500 0.500 0.250
P 0.000 0.000 0.922
P 0.000 0.000 0.578

---

[4]
! KBaSc2Zn, optimized geometry, DFT GGA-PBE; values from VASP
! **DOS at the Fermi energy**: 8.3 states/eV/f.u.
! **Uncorrected energy**: -2.98 eV per atom
! **Crystal system**: tetragonal
! **Energy relative to the elements**: 40 kJ/mol of atoms
&SYSTEM
  ibrav = 0, nat = 5, ntyp = 4
/
ATOMIC_SPECIES
Zn 65.41 Zn.upf
K 39.10 K.upf
Ba 137.33 Ba.upf
Sc 44.96 Sc.upf
CELL_PARAMETERS angstrom
5.420 0.000 0.000
0.000 6.196 0.000
0.000 0.000 5.420
ATOMIC_POSITIONS crystal
Zn 0.000 0.000 0.000
K 0.000 0.500 0.000
Ba 0.500 0.500 0.500
Sc 0.000 0.000 0.500
Sc 0.500 0.000 0.000

---

[5]
! Tl2ReBr, optimized geometry, DFT GGA-PBE; values from VASP
! **ΔE_f (raw)**: 2.97 eV/f.u.
! **DOS at the Fermi energy**: 2.3 states/eV/f.u.
! **Uncorrected energy**: -3.97 eV per atom
! **Crystal system**: tetragonal
&SYSTEM
  ibrav = 0, nat = 4, ntyp = 3
/
ATOMIC_SPECIES
Re 186.21 Re.upf
Br 79.90 Br.upf
Tl 204.38 Tl.upf
CELL_PARAMETERS angstrom
-0.093 3.176 -0.136
-3.147 -0.073 0.450
1.365 0.451 9.614
ATOMIC_POSITIONS crystal
Re 0.500 0.500 0.721
Br 0.000 0.000 0.584
Tl 0.000 0.000 0.948
Tl 0.500 0.500 0.246

---

[6]
! KLaHg17, optimized geometry, DFT GGA-PBE; values from VASP
! **DOS at the Fermi energy**: 7.7 states/eV/f.u.
! **Uncorrected energy**: -0.71 eV per atom
! **Crystal system**: trigonal
! **Energy relative to the elements**: -12 kJ/mol of atoms
&SYSTEM
  ibrav = 0, nat = 19, ntyp = 3
/
ATOMIC_SPECIES
La 138.91 La.upf
Hg 200.59 Hg.upf
K 39.10 K.upf
CELL_PARAMETERS angstrom
-2.872 7.294 2.712
-6.332 1.807 -5.045
-6.803 -1.876 4.361
ATOMIC_POSITIONS crystal
La 0.321 0.321 0.321
Hg 0.696 0.306 0.003
Hg 0.591 0.230 0.591
Hg 0.306 0.003 0.696
Hg 0.944 0.944 0.944
Hg 0.939 0.939 0.575
Hg 0.003 0.696 0.306
Hg 0.575 0.939 0.939
Hg 0.349 0.349 0.905
Hg 0.905 0.349 0.349
Hg 0.591 0.591 0.230
Hg 0.306 0.696 0.003
Hg 0.115 0.115 0.115
Hg 0.939 0.575 0.939
Hg 0.696 0.003 0.306
Hg 0.003 0.306 0.696
Hg 0.230 0.591 0.591
Hg 0.349 0.905 0.349
K 0.643 0.643 0.643

---

[7]
! PmY2Pd, optimized geometry, DFT GGA-PBE; values from VASP
! **DOS at the Fermi energy**: 5.0 states/eV/f.u.
! **Uncorrected energy**: -6.17 eV per atom
! **Crystal system**: orthorhombic
! **Energy relative to the elements**: -44 kJ/mol of atoms
&SYSTEM
  ibrav = 0, nat = 16, ntyp = 3
/
ATOMIC_SPECIES
Y 88.91 Y.upf
Pm 145.00 Pm.upf
Pd 106.42 Pd.upf
CELL_PARAMETERS angstrom
-5.360 -0.678 3.728
4.078 -1.910 5.515
0.708 9.379 2.725
ATOMIC_POSITIONS crystal
Y 0.174 0.678 0.061
Y 0.326 0.178 0.061
Y 0.326 0.178 0.439
Y 0.826 0.322 0.561
Y 0.826 0.322 0.939
Y 0.174 0.678 0.439
Y 0.674 0.822 0.561
Y 0.674 0.822 0.939
Pm 0.136 0.979 0.750
Pm 0.636 0.521 0.250
Pm 0.364 0.479 0.750
Pm 0.864 0.021 0.250
Pd 0.434 0.886 0.250
Pd 0.566 0.114 0.750
Pd 0.934 0.614 0.750
Pd 0.066 0.386 0.250

---

[8]
! TbErZnCr, optimized geometry, DFT GGA-PBE; values from VASP
! **DOS at the Fermi energy**: 1.5 states/eV/f.u.
! **Uncorrected energy**: -5.02 eV per atom
! **Crystal system**: cubic
! **Energy relative to the elements**: 1 kJ/mol of atoms
&SYSTEM
  ibrav = 0, nat = 4, ntyp = 4
/
ATOMIC_SPECIES
Er 167.26 Er.upf
Tb 158.93 Tb.upf
Cr 52.00 Cr.upf
Zn 65.41 Zn.upf
CELL_PARAMETERS angstrom
-3.967 1.023 2.920
-4.646 -1.072 -1.603
-2.592 -3.751 2.127
ATOMIC_POSITIONS crystal
Er 0.000 0.000 0.000
Tb 0.500 0.500 0.500
Cr 0.250 0.250 0.250
Zn 0.750 0.750 0.750